# Ac2NdTl, relaxed, DFT PBE
data_Ac2NdTl
_cell_length_a 12.595
_cell_length_b 12.595
_cell_length_c 6.212
_cell_angle_alpha 102.56
_cell_angle_beta 102.56
_cell_angle_gamma 18.09
_space_group_name_H-M_alt 'P 1'
_space_group_IT_number 1
loop_
_space_group_symop_operation_xyz
'x,y,z'
loop_
_atom_site_label
_atom_site_fract_x
_atom_site_fract_y
_atom_site_fract_z
Ac1 0.058 0.058 0.339
Ac2 0.180 0.180 0.873
Ac3 0.820 0.820 0.127
Ac4 0.942 0.942 0.661
Nd1 0.310 0.310 0.630
Nd2 0.690 0.690 0.370
Tl1 0.437 0.437 0.137
Tl2 0.563 0.563 0.863
# Energy above the most stable polymorph in this dataset   0.000 eV/atom
# M_tot   0.0 μB/f.u.
# Volume   298.5 Å³ per cell
# ΔE_f   -0.149 eV/atom
# Space-group type   No. 12